Record 1
An optimized crystal structure of Sr3Co. Source: the Alexandria database, functional GGA-PBE.

Cell lengths 6.731, 6.731, 6.731 Å; angles 90.00, 90.00, 90.00 degrees
Space group Pm-3n (No. 223)
Inequivalent atoms, fractional coordinates:
Sr: 0.000 0.250 0.500 (multiplicity 6)
Co: 0.000 0.000 0.000 (multiplicity 2)

Record 2
An optimized crystal structure of SrCo8. Source: the Alexandria database, functional GGA-PBE.

Cell lengths 7.964, 7.964, 3.813 Å; angles 90.00, 90.00, 90.00 degrees
Space group I4/mmm (No. 139)
Inequivalent atoms, fractional coordinates:
Sr: 0.000 0.000 0.000 (multiplicity 2)
Co: 0.000 0.356 0.000 (multiplicity 8)
Co: 0.196 0.196 0.500 (multiplicity 8)

Record 3
An optimized crystal structure of Sr5Co. Source: the Alexandria database, functional GGA-PBE.

Cell lengths 7.5321, 7.5321, 6.9528 Å; angles 90.00, 90.00, 120.00 degrees
Space group P6/mmm (No. 191)
Inequivalent atoms, fractional coordinates:
Sr: 0.0000 0.5000 0.0000 (multiplicity 3)
Sr: 0.3333 0.6667 0.5000 (multiplicity 2)
Co: 0.0000 0.0000 0.5000 (multiplicity 1)

- E above lowest polymorph: 50.8 kJ/mol of atoms

Record 4
An optimized crystal structure of Sr3Co2. Source: the Alexandria database, functional GGA-PBE.

Cell lengths 4.8368, 4.8368, 8.5536 Å; angles 90.00, 90.00, 120.00 degrees
Space group P-3m1 (No. 164)
Inequivalent atoms, fractional coordinates:
Sr: 0.0000 0.0000 0.0000 (multiplicity 1)
Sr: 0.3333 0.6667 0.3047 (multiplicity 2)
Co: 0.3333 0.6667 0.9558 (multiplicity 2)

- E above lowest polymorph: 8.0 kJ/mol of atoms

| no. | VASP energy (eV/atom) | energy of formation (eV per atom) |
| --- | --- | --- |
| 1 | -2.40 | 0.64 |
| 2 | -6.18 | 0.33 |
| 3 | -1.69 | 0.89 |
| 4 | -3.32 | 0.53 |